(1)
The following is a DFT calculation (PBE) of an optimized crystal structure of BaSrNdEu.

abc: 6.4193 6.4193 6.4193
angles: 60.00 60.00 60.00
Last column: magnetic moment on the atom in μB.
Positions (direct):
Ba 0.0000 0.0000 0.0000  0.03
Sr 0.2500 0.2500 0.2500  0.01
Eu 0.7500 0.7500 0.7500  6.91
Nd 0.5000 0.5000 0.5000  0.10

formation energy from the elements	0.160	eV/atom
V	187.0	Å³/f.u.
Fermi-level density of states	4.9	states/eV/f.u.
space group	F-43m (216)
total magnetization	1.90	μB/atom

***

(2)
The following is a DFT calculation (PBE) of an optimized crystal structure of BaNdEuTl.

abc: 5.9324 5.9324 5.9324
angles: 60.00 60.00 60.00
Last column: magnetic moment on the atom in μB.
Positions (direct):
Ba 0.7500 0.7500 0.7500  -0.02
Tl 0.0000 0.0000 0.0000  0.03
Nd 0.2500 0.2500 0.2500  -0.05
Eu 0.5000 0.5000 0.5000  -6.92

formation energy from the elements	-0.039	eV/atom
V	147.6	Å³/f.u.
Fermi-level density of states	3.4	states/eV/f.u.
space group	F-43m (216)
total magnetization	1.82	μB/atom

***

(3)
The following is a DFT calculation (PBE) of an optimized crystal structure of BaEu3Ni.

abc: 5.8138 5.8138 5.8138
angles: 90.00 90.00 90.00
Last column: magnetic moment on the atom in μB.
Positions (direct):
Ni 0.0000 0.0000 0.0000  -0.28
Ba 0.5000 0.5000 0.5000  0.07
Eu 0.0000 0.5000 0.0000  6.90
Eu 0.0000 0.0000 0.5000  6.90
Eu 0.5000 0.0000 0.0000  6.90

formation energy from the elements	-0.030	eV/atom
V	196.5	Å³/f.u.
Fermi-level density of states	30.9	states/eV/f.u.
space group	Pm-3m (221)
total magnetization	4.34	μB/atom

***

(4)
The following is a DFT calculation (PBE) of an optimized crystal structure of Ba2EuNi.

abc: 4.2776 4.2776 11.9987
angles: 79.73 79.73 60.00
Last column: magnetic moment on the atom in μB.
Positions (direct):
Ba 0.8843 0.8843 0.3470  0.00
Ba 0.1157 0.1157 0.6530  0.00
Eu 0.0000 0.0000 0.0000  7.02
Ni 0.5000 0.5000 0.5000  0.02

formation energy from the elements	0.189	eV/atom
V	186.1	Å³/f.u.
Fermi-level density of states	4.1	states/eV/f.u.
space group	R-3m (166)
total magnetization	1.91	μB/atom